[1]
# PRuSCl2

Crystalline PRuSCl2 at its relaxed geometry (PBE, the Alexandria database).

Structure (extended XYZ):
```
5
Lattice="4.889 0.000 0.000 0.000 4.889 0.000 0.000 0.000 4.473" Properties=species:S:1:pos:R:3 pbc="T T T"
P 0.000 0.000 0.000
Ru 2.444 2.444 2.237
S 2.444 2.444 0.000
Cl 0.000 2.444 2.237
Cl 2.444 0.000 2.237
```

Computed properties:
total magnetic moment	1.7	μB/f.u.
relative energy among the computed polymorphs	26.8	meV/atom
space-group type	No. 123
calculated density	3.7	g/cm3
formation energy from raw total energies	0.57	eV/atom

***

[2]
# P2RuSCl

Crystalline P2RuSCl at its relaxed geometry (PBE, the Alexandria database).

Structure (extended XYZ):
```
5
Lattice="4.618 0.000 0.000 0.000 4.618 0.000 0.000 0.000 4.629" Properties=species:S:1:pos:R:3 pbc="T T T"
P 0.000 2.309 0.000
P 2.309 0.000 0.000
Ru 0.000 0.000 0.000
S 0.000 0.000 2.314
Cl 2.309 2.309 2.314
```

Computed properties:
total magnetic moment	0.0	μB/f.u.
relative energy among the computed polymorphs	0.0	meV/atom
space-group type	No. 123
calculated density	3.9	g/cm3
formation energy from raw total energies	0.55	eV/atom

***

Copy entry 1 word for word.
# PRuSCl2

Crystalline PRuSCl2 at its relaxed geometry (PBE, the Alexandria database).

Structure (extended XYZ):
```
5
Lattice="4.889 0.000 0.000 0.000 4.889 0.000 0.000 0.000 4.473" Properties=species:S:1:pos:R:3 pbc="T T T"
P 0.000 0.000 0.000
Ru 2.444 2.444 2.237
S 2.444 2.444 0.000
Cl 0.000 2.444 2.237
Cl 2.444 0.000 2.237
```

Computed properties:
total magnetic moment	1.7	μB/f.u.
relative energy among the computed polymorphs	26.8	meV/atom
space-group type	No. 123
calculated density	3.7	g/cm3
formation energy from raw total energies	0.57	eV/atom

***

Among the records above, which one has the highest calculated density? P2RuSCl

***

The highest total magnetic moment belongs to which entry? PRuSCl2

***

Repeat the first record exactly.
# PRuSCl2

Crystalline PRuSCl2 at its relaxed geometry (PBE, the Alexandria database).

Structure (extended XYZ):
```
5
Lattice="4.889 0.000 0.000 0.000 4.889 0.000 0.000 0.000 4.473" Properties=species:S:1:pos:R:3 pbc="T T T"
P 0.000 0.000 0.000
Ru 2.444 2.444 2.237
S 2.444 2.444 0.000
Cl 0.000 2.444 2.237
Cl 2.444 0.000 2.237
```

Computed properties:
total magnetic moment	1.7	μB/f.u.
relative energy among the computed polymorphs	26.8	meV/atom
space-group type	No. 123
calculated density	3.7	g/cm3
formation energy from raw total energies	0.57	eV/atom